{
  "formula": "SnTePt",
  "functional": "GGA-PBEsol",
  "state": "optimized geometry",
  "formation_energy_uncorrected_ev_per_atom": -0.5334,
  "m_tot_mub_per_cell": 0.00,
  "spacegroup": "P2_13 (198)",
  "crystal_system": "cubic",
  "lattice_angstrom": [[6.4868, 0.0000, 0.0000], [0.0000, 6.4868, 0.0000], [0.0000, 0.0000, 6.4868]],
  "species": ["Sn", "Sn", "Sn", "Sn", "Te", "Te", "Te", "Te", "Pt", "Pt", "Pt", "Pt"],
  "frac_coords": [[0.1273, 0.3727, 0.6273], [0.3727, 0.6273, 0.1273], [0.6273, 0.1273, 0.3727], [0.8727, 0.8727, 0.8727], [0.1275, 0.1275, 0.1275], [0.3725, 0.8725, 0.6275], [0.6275, 0.3725, 0.8725], [0.8725, 0.6275, 0.3725], [0.0016, 0.5016, 0.9984], [0.4984, 0.4984, 0.4984], [0.5016, 0.9984, 0.0016], [0.9984, 0.0016, 0.5016]]
}

{
  "formula": "SnPtW3",
  "functional": "GGA-PBEsol",
  "state": "optimized geometry",
  "m_tot_mub_per_cell": 0.00,
  "spacegroup": "Pm-3m (221)",
  "crystal_system": "cubic",
  "e_form_ev_per_atom": 2.0428,
  "lattice_angstrom": [[4.7582, 0.0000, 0.0000], [0.0000, 4.7582, 0.0000], [0.0000, 0.0000, 4.7582]],
  "species": ["Sn", "Pt", "W", "W", "W"],
  "frac_coords": [[0.0000, 0.0000, 0.0000], [0.5000, 0.5000, 0.5000], [0.0000, 0.5000, 0.5000], [0.5000, 0.0000, 0.5000], [0.5000, 0.5000, 0.0000]]
}

{
  "formula": "YSn3Pt",
  "functional": "GGA-PBEsol",
  "state": "optimized geometry",
  "m_tot_mub_per_cell": 0.00,
  "spacegroup": "Pm-3m (221)",
  "crystal_system": "cubic",
  "e_form_ev_per_atom": -0.0076,
  "lattice_angstrom": [[5.1809, 0.0000, 0.0000], [0.0000, 5.1809, 0.0000], [0.0000, 0.0000, 5.1809]],
  "species": ["Y", "Sn", "Sn", "Sn", "Pt"],
  "frac_coords": [[0.0000, 0.0000, 0.0000], [0.0000, 0.5000, 0.5000], [0.5000, 0.0000, 0.5000], [0.5000, 0.5000, 0.0000], [0.5000, 0.5000, 0.5000]]
}

{
  "formula": "Zn2SnPt2",
  "functional": "GGA-PBEsol",
  "state": "optimized geometry",
  "m_tot_mub_per_cell": 0.00,
  "spacegroup": "I4/mmm (139)",
  "crystal_system": "tetragonal",
  "e_form_ev_per_atom": -0.3707,
  "lattice_angstrom": [[-1.7607, 1.7607, 6.5950], [1.7607, -1.7607, 6.5950], [1.7607, 1.7607, -6.5950]],
  "species": ["Zn", "Zn", "Sn", "Pt", "Pt"],
  "frac_coords": [[0.2500, 0.7500, 0.5000], [0.7500, 0.2500, 0.5000], [0.0000, 0.0000, 0.0000], [0.3963, 0.3963, 0.0000], [0.6037, 0.6037, 0.0000]]
}

{
  "formula": "Zr3SnPt",
  "functional": "GGA-PBEsol",
  "state": "optimized geometry",
  "m_tot_mub_per_cell": 0.00,
  "spacegroup": "Pm-3m (221)",
  "crystal_system": "cubic",
  "e_form_ev_per_atom": 1.0702,
  "lattice_angstrom": [[5.1205, 0.0000, 0.0000], [0.0000, 5.1205, 0.0000], [0.0000, 0.0000, 5.1205]],
  "species": ["Zr", "Zr", "Zr", "Sn", "Pt"],
  "frac_coords": [[0.0000, 0.0000, 0.5000], [0.0000, 0.5000, 0.0000], [0.5000, 0.0000, 0.0000], [0.0000, 0.0000, 0.0000], [0.5000, 0.5000, 0.5000]]
}

{
  "formula": "Sr3Pt",
  "functional": "GGA-PBEsol",
  "state": "optimized geometry",
  "m_tot_mub_per_cell": 0.00,
  "spacegroup": "Pmmn (59)",
  "crystal_system": "orthorhombic",
  "e_form_ev_per_atom": -0.3799,
  "lattice_angstrom": [[4.0529, 0.0000, 0.0000], [0.0000, 7.3714, 0.0000], [0.0000, 0.0000, 10.3702]],
  "species": ["Sr", "Sr", "Sr", "Sr", "Sr", "Sr", "Pt", "Pt"],
  "frac_coords": [[0.2500, 0.0124, 0.1778], [0.2500, 0.2500, 0.5274], [0.2500, 0.4876, 0.1778], [0.7500, 0.5124, 0.8222], [0.7500, 0.7500, 0.4726], [0.7500, 0.9876, 0.8222], [0.2500, 0.7500, 0.6834], [0.7500, 0.2500, 0.3166]]
}

{
  "formula": "Sr3Pt",
  "functional": "GGA-PBEsol",
  "state": "optimized geometry",
  "m_tot_mub_per_cell": 0.00,
  "spacegroup": "Cmmm (65)",
  "crystal_system": "orthorhombic",
  "e_form_ev_per_atom": -0.4116,
  "lattice_angstrom": [[3.0239, -6.5631, 0.0000], [3.0239, 6.5631, 0.0000], [0.0000, 0.0000, 4.2926]],
  "species": ["Sr", "Sr", "Sr", "Pt"],
  "frac_coords": [[0.0000, 0.0000, 0.0000], [0.3491, 0.6509, 0.5000], [0.6509, 0.3491, 0.5000], [0.5000, 0.5000, 0.0000]]
}

{
  "formula": "Sr3Pt",
  "functional": "GGA-PBEsol",
  "state": "optimized geometry",
  "m_tot_mub_per_cell": 0.00,
  "spacegroup": "Pnma (62)",
  "crystal_system": "orthorhombic",
  "e_form_ev_per_atom": -0.4775,
  "lattice_angstrom": [[7.9858, 0.0000, 0.0000], [0.0000, 10.2084, 0.0000], [0.0000, 0.0000, 6.9851]],
  "species": ["Sr", "Sr", "Sr", "Sr", "Sr", "Sr", "Sr", "Sr", "Sr", "Sr", "Sr", "Sr", "Pt", "Pt", "Pt", "Pt"],
  "frac_coords": [[0.0460, 0.2500, 0.1536], [0.1690, 0.0700, 0.6684], [0.1690, 0.4300, 0.6684], [0.3310, 0.5700, 0.1684], [0.3310, 0.9300, 0.1684], [0.4540, 0.7500, 0.6536], [0.5460, 0.2500, 0.3464], [0.6690, 0.0700, 0.8316], [0.6690, 0.4300, 0.8316], [0.8310, 0.5700, 0.3316], [0.8310, 0.9300, 0.3316], [0.9540, 0.7500, 0.8464], [0.1222, 0.7500, 0.4529], [0.3778, 0.2500, 0.9529], [0.6222, 0.7500, 0.0471], [0.8778, 0.2500, 0.5471]]
}